Below is a relaxed structure of VCdAs2O8, with properties calculated at the PBE+U level.

magnetic moment: 0.93 μB/f.u.
energy: -71.94 eV/cell

abc: 5.764 5.764 5.764
angles: 106.27 106.27 116.08
Each line ends with the local moment (μB).
Sites, in units of the cell vectors:
O (0.877, 0.704, 0.173)  -0.04
O (0.378, 0.074, 0.305)  -0.02
O (0.926, 0.231, 0.305)  -0.02
O (0.296, 0.123, 0.827)  -0.04
O (0.769, 0.074, 0.695)  -0.02
O (0.530, 0.704, 0.827)  -0.04
O (0.926, 0.622, 0.695)  -0.02
O (0.296, 0.470, 0.173)  -0.04
V (0.000, 0.000, 0.000)  1.17
Cd (0.250, 0.750, 0.500)  -0.01
As (0.500, 0.500, 0.000)  0.01
As (0.750, 0.250, 0.500)  0.00